Computed, not measured: crystalline Sc3Mn3Se8 at its relaxed geometry at the GGA-PBE level of DFT.

Properties
V (Å³/cell): 338
E (eV per atom): -6.410
Crystal system: trigonal
Mass density (Mg/m³): 4.58

Cell lengths 7.8174, 7.8174, 7.8174 Å; angles 60.03, 60.03, 60.03 degrees
Site moments in Bohr magnetons follow the coordinates.
Sites, in units of the cell vectors:
Sc (0.0000, 0.5000, 0.0000)  0.11
Sc (0.0000, 0.0000, 0.5000)  0.11
Se (0.7554, 0.7554, 0.7554)  0.02
Se (0.7607, 0.7607, 0.2302)  0.00
Mn (0.6245, 0.6245, 0.6245)  4.18
Se (0.2393, 0.2393, 0.7698)  0.00
Se (0.7607, 0.2302, 0.7607)  0.00
Se (0.2302, 0.7607, 0.7607)  0.00
Se (0.2446, 0.2446, 0.2446)  0.02
Mn (0.0000, 0.0000, 0.0000)  3.93
Se (0.7698, 0.2393, 0.2393)  0.00
Se (0.2393, 0.7698, 0.2393)  0.00
Sc (0.5000, 0.0000, 0.0000)  0.11
Mn (0.3755, 0.3755, 0.3755)  4.18



Computed, not measured: crystalline TaCoTc at its relaxed geometry at the GGA-PBE level of DFT.

Properties
Formation energy (eV per atom): 0.683
V (Å³/cell): 51
E (eV per atom): -9.092
Crystal system: cubic
Mass density (Mg/m³): 10.93

Cell lengths 4.1711, 4.1711, 4.1711 Å; angles 60.00, 60.00, 60.00 degrees
Site moments in Bohr magnetons follow the coordinates.
Sites, in units of the cell vectors:
Tc (0.0000, 0.0000, 0.0000)  0.42
Co (0.5000, 0.5000, 0.5000)  0.58
Ta (0.7500, 0.7500, 0.7500)  -0.10



Computed, not measured: crystalline TaFe2Ag at its relaxed geometry at the GGA-PBE level of DFT.

Properties
Formation energy (eV per atom): 0.388
V (Å³/cell): 59
E (eV per atom): -7.520
Crystal system: cubic
Mass density (Mg/m³): 11.18

Cell lengths 4.3820, 4.3820, 4.3820 Å; angles 60.00, 60.00, 60.00 degrees
Site moments in Bohr magnetons follow the coordinates.
Sites, in units of the cell vectors:
Ta (0.2500, 0.2500, 0.2500)  -0.34
Fe (0.7500, 0.7500, 0.7500)  2.73
Ag (0.5000, 0.5000, 0.5000)  -0.02
Fe (0.0000, 0.0000, 0.0000)  1.98



Computed, not measured: crystalline Cs2NdHgF6 at its relaxed geometry at the GGA-PBE level of DFT.

Properties
V (Å³/cell): 473
E (eV per atom): -4.644
Crystal system: orthorhombic
Mass density (Mg/m³): 5.09

Cell lengths 6.9390, 6.9583, 9.7963 Å; angles 90.00, 90.00, 90.00 degrees
Site moments in Bohr magnetons follow the coordinates.
Sites, in units of the cell vectors:
Cs (0.5000, 0.7629, 0.7494)  0.00
Hg (0.0000, 0.7480, 0.0000)  0.45
F (0.7274, 0.4873, 0.0000)  0.04
F (0.2726, 0.4873, 0.0000)  0.04
Nd (0.5000, 0.2513, 0.0000)  0.02
Hg (0.5000, 0.2520, 0.5000)  0.45
Cs (0.0000, 0.2371, 0.2494)  0.00
F (0.7726, 0.5127, 0.5000)  0.04
F (0.2378, 0.9759, 0.5000)  0.04
F (0.5000, 0.2284, 0.2322)  0.04
F (0.2622, 0.0241, 0.0000)  0.04
F (0.2274, 0.5127, 0.5000)  0.04
F (0.7378, 0.0241, 0.0000)  0.04
Nd (0.0000, 0.7487, 0.5000)  0.02
F (0.7622, 0.9759, 0.5000)  0.04
Cs (0.5000, 0.7629, 0.2506)  0.00
F (0.0000, 0.7716, 0.2678)  0.04
Cs (0.0000, 0.2371, 0.7506)  0.00
F (0.5000, 0.2284, 0.7678)  0.04
F (0.0000, 0.7716, 0.7322)  0.04



Computed, not measured: crystalline Li2La2DyGa2 at its relaxed geometry at the GGA-PBE level of DFT.

Properties
Formation energy (eV per atom): -0.314
V (Å³/cell): 164
E (eV per atom): -3.791
Crystal system: trigonal
Mass density (Mg/m³): 6.01

Cell lengths 4.6533, 4.6533, 9.1509 Å; angles 75.27, 75.27, 60.00 degrees
Sites, in units of the cell vectors:
Ga (0.2678, 0.2678, 0.1965)
Li (0.6066, 0.6066, 0.1801)
Li (0.3934, 0.3934, 0.8199)
Dy (0.0000, 0.0000, 0.0000)
Ga (0.7322, 0.7322, 0.8035)
La (0.1335, 0.1335, 0.5996)
La (0.8665, 0.8665, 0.4004)



Computed, not measured: crystalline ReAs at its relaxed geometry at the GGA-PBE level of DFT.

Properties
Formation energy (eV per atom): 0.759
V (Å³/cell): 64
E (eV per atom): -7.790
Crystal system: cubic
Mass density (Mg/m³): 13.60

Cell lengths 4.4849, 4.4849, 4.4849 Å; angles 60.00, 60.00, 60.00 degrees
Sites, in units of the cell vectors:
As (0.0000, 0.0000, 0.0000)
As (0.2500, 0.2500, 0.2500)
Re (0.7500, 0.7500, 0.7500)
Re (0.5000, 0.5000, 0.5000)